[1]
{
  "formula": "Pr2Dy6Zn",
  "functional": "PBE",
  "state": "relaxed",
  "lattice_angstrom": [[5.445, 0.000, 0.220], [0.000, 9.778, 0.000], [-0.408, 0.000, 10.251]],
  "species": ["Pr", "Pr", "Pr", "Pr", "Dy", "Dy", "Dy", "Dy", "Dy", "Dy", "Dy", "Dy", "Dy", "Dy", "Dy", "Dy", "Zn", "Zn"],
  "frac_coords": [[0.000, 0.312, 0.749], [0.500, 0.812, 0.751], [0.500, 0.188, 0.249], [0.000, 0.688, 0.251], [0.000, 0.014, 0.188], [0.000, 0.691, 0.575], [0.000, 0.635, 0.898], [0.500, 0.135, 0.602], [0.500, 0.191, 0.925], [0.500, 0.514, 0.312], [0.000, 0.986, 0.812], [0.000, 0.309, 0.425], [0.000, 0.365, 0.102], [0.500, 0.865, 0.398], [0.500, 0.809, 0.075], [0.500, 0.486, 0.688], [0.500, 0.500, 0.000], [0.000, 0.000, 0.500]],
  "magnetic_moment_mub_per_atom": 0.000,
  "spacegroup": "Pnnm (58)",
  "e_tot_ev_per_atom": -4.240,
  "crystal_system": "orthorhombic",
  "e_form_ev_per_atom": 0.0313
}



[2]
{
  "formula": "ZnCd2Cl",
  "functional": "PBE",
  "state": "relaxed",
  "lattice_angstrom": [[5.610, -0.101, -0.033], [1.299, 5.458, 0.033], [-2.441, -3.986, 3.104]],
  "species": ["Cd", "Cd", "Cl", "Zn"],
  "frac_coords": [[0.989, 0.989, 0.000], [0.511, 0.511, 0.000], [0.250, 0.750, 0.500], [0.750, 0.250, 0.500]],
  "magnetic_moment_mub_per_atom": 0.000,
  "e_form_raw_ev_per_atom": -0.1284,
  "spacegroup": "Immm (71)",
  "e_tot_ev_per_atom": -1.366,
  "crystal_system": "orthorhombic",
  "de_polymorph_mev_per_atom": 118
}



[3]
{
  "formula": "LiZrMn",
  "functional": "PBE",
  "state": "relaxed",
  "lattice_angstrom": [[5.299, 0.016, -0.033], [3.242, 4.192, 0.033], [-4.250, -2.145, 2.327]],
  "species": ["Li", "Mn", "Zr"],
  "frac_coords": [[0.017, 0.017, 0.000], [0.659, 0.659, 0.000], [0.324, 0.324, 0.000]],
  "magnetic_moment_mub_per_atom": 0.826,
  "spacegroup": "Imm2 (44)",
  "e_tot_ev_per_atom": -6.286,
  "crystal_system": "orthorhombic",
  "de_polymorph_mev_per_atom": 0,
  "e_form_ev_per_atom": 0.2579
}



[4]
{
  "formula": "Cs2K3LiI6",
  "functional": "PBE",
  "state": "relaxed",
  "lattice_angstrom": [[8.991, 0.073, 0.041], [-4.430, 7.824, 0.041], [-1.485, -2.571, 8.274]],
  "species": ["Cs", "Cs", "K", "K", "K", "Li", "I", "I", "I", "I", "I", "I"],
  "frac_coords": [[0.330, 0.670, 0.000], [0.670, 0.330, 0.000], [0.166, 0.834, 0.500], [0.834, 0.166, 0.500], [0.500, 0.500, 0.500], [0.000, 0.000, 0.000], [0.904, 0.588, 0.725], [0.817, 0.817, 0.205], [0.096, 0.412, 0.275], [0.588, 0.904, 0.725], [0.183, 0.183, 0.795], [0.412, 0.096, 0.275]],
  "magnetic_moment_mub_per_atom": 0.000,
  "e_form_raw_ev_per_atom": -1.4109,
  "spacegroup": "C2/m (12)",
  "e_tot_ev_per_atom": -2.762,
  "crystal_system": "monoclinic"
}



What did the fourth record say?
{
  "formula": "Cs2K3LiI6",
  "functional": "PBE",
  "state": "relaxed",
  "lattice_angstrom": [[8.991, 0.073, 0.041], [-4.430, 7.824, 0.041], [-1.485, -2.571, 8.274]],
  "species": ["Cs", "Cs", "K", "K", "K", "Li", "I", "I", "I", "I", "I", "I"],
  "frac_coords": [[0.330, 0.670, 0.000], [0.670, 0.330, 0.000], [0.166, 0.834, 0.500], [0.834, 0.166, 0.500], [0.500, 0.500, 0.500], [0.000, 0.000, 0.000], [0.904, 0.588, 0.725], [0.817, 0.817, 0.205], [0.096, 0.412, 0.275], [0.588, 0.904, 0.725], [0.183, 0.183, 0.795], [0.412, 0.096, 0.275]],
  "magnetic_moment_mub_per_atom": 0.000,
  "e_form_raw_ev_per_atom": -1.4109,
  "spacegroup": "C2/m (12)",
  "e_tot_ev_per_atom": -2.762,
  "crystal_system": "monoclinic"
}